[1]
## OsSeF3 (PBE-GGA)

Data for OsSeF3 after structural relaxation.

Lattice parameters (Å, degrees): 4.4387 4.4387 4.4387 90.00 90.00 90.00
With the nearest neighbours (Å) after each atom.
Element x y z (fractional)
Os1 0.0000 0.0000 0.0000  12 F 3.14
Se1 0.5000 0.5000 0.5000  6 F 2.22
F1 0.0000 0.5000 0.5000  2 Se 2.22
F2 0.5000 0.0000 0.5000  2 Se 2.22
F3 0.5000 0.5000 0.0000  2 Se 2.22

Output
E above lowest polymorph = 0.689 eV/atom
DOS at the Fermi energy = 0.780 states/eV/atom
E_tot = -3.529 eV per atom
formation energy (no corrections) = 0.537 eV per atom
SG = Pm-3m (221)

***

[2]
## Os2SeF (PBE-GGA)

Data for Os2SeF after structural relaxation.

Lattice parameters (Å, degrees): 6.5058 6.5058 5.5245 90.00 90.00 90.00
With the nearest neighbours (Å) after each atom.
Element x y z (fractional)
Os1 0.2413 0.2500 0.1250  2 F 2.36, 2 Se 2.44
Os2 0.2500 0.7413 0.3750  2 F 2.36, 2 Se 2.44
Os3 0.2500 0.7587 0.8750  2 F 2.36, 2 Se 2.44
Os4 0.2587 0.2500 0.6250  2 F 2.36, 2 Se 2.44
Os5 0.7413 0.7500 0.6250  2 F 2.36, 2 Se 2.44
Os6 0.7500 0.2413 0.8750  2 F 2.36, 2 Se 2.44
Os7 0.7500 0.2587 0.3750  2 F 2.36, 2 Se 2.44
Os8 0.7587 0.7500 0.1250  2 F 2.36, 2 Se 2.44
Se1 0.0000 0.0000 0.5000  4 Os 2.44
Se2 0.0000 0.5000 0.7500  4 Os 2.44
Se3 0.5000 0.0000 0.2500  4 Os 2.44
Se4 0.5000 0.5000 0.0000  4 Os 2.44
F1 0.0000 0.0000 0.0000  4 Os 2.36
F2 0.0000 0.5000 0.2500  4 Os 2.36
F3 0.5000 0.0000 0.7500  4 Os 2.36
F4 0.5000 0.5000 0.5000  4 Os 2.36

Output
E above lowest polymorph = 0.166 eV/atom
DOS at the Fermi energy = 1.298 states/eV/atom
E_tot = -6.123 eV per atom
formation energy (no corrections) = 0.831 eV per atom
SG = I-42d (122)

***

[3]
## Os2SeF (PBE-GGA)

Data for Os2SeF after structural relaxation.

Lattice parameters (Å, degrees): 5.9717 5.9717 5.9717 90.00 90.00 90.00
With the nearest neighbours (Å) after each atom.
Element x y z (fractional)
Os1 0.2500 0.2500 0.2500  4 F 2.59, 4 Se 2.59
Os2 0.2500 0.2500 0.7500  4 F 2.59, 4 Se 2.59
Os3 0.2500 0.7500 0.2500  4 F 2.59, 4 Se 2.59
Os4 0.2500 0.7500 0.7500  4 F 2.59, 4 Se 2.59
Os5 0.7500 0.2500 0.2500  4 F 2.59, 4 Se 2.59
Os6 0.7500 0.2500 0.7500  4 F 2.59, 4 Se 2.59
Os7 0.7500 0.7500 0.2500  4 F 2.59, 4 Se 2.59
Os8 0.7500 0.7500 0.7500  4 F 2.59, 4 Se 2.59
Se1 0.0000 0.0000 0.0000  8 Os 2.59
Se2 0.0000 0.5000 0.5000  8 Os 2.59
Se3 0.5000 0.0000 0.5000  8 Os 2.59
Se4 0.5000 0.5000 0.0000  8 Os 2.59
F1 0.0000 0.0000 0.5000  8 Os 2.59
F2 0.0000 0.5000 0.0000  8 Os 2.59
F3 0.5000 0.0000 0.0000  8 Os 2.59
F4 0.5000 0.5000 0.5000  8 Os 2.59

Output
E above lowest polymorph = 0.000 eV/atom
DOS at the Fermi energy = 1.355 states/eV/atom
E_tot = -6.289 eV per atom
formation energy (no corrections) = 0.665 eV per atom
SG = Fm-3m (225)

***

Question: Which value of formation energy (no corrections) does entry 3 give?
Answer: 0.665 eV per atom

***

Question: Which formula does entry 3 have?
Answer: Os2SeF

***

Question: formation energy (no corrections) of number 3 (Os2SeF)?
Answer: 0.665 eV per atom